1.
The following is a GGA-PBE calculation of an optimized crystal structure of La6Rh2Cl3O, from Alexandria.

Output
Space group: C2/m, No. 12
Formation energy (no corrections), eV/atom: -1.53

The structure in POSCAR format:
```
La6Rh2Cl3O
1.0
3.457 -5.998 0.000
3.457 5.998 0.000
-2.276 0.000 7.592
La Rh Cl O
6 2 3 1
direct
0.067 0.378 0.204
0.241 0.241 0.792
0.378 0.067 0.204
0.622 0.933 0.796
0.759 0.759 0.208
0.933 0.622 0.796
0.335 0.665 0.000
0.665 0.335 0.000
0.180 0.820 0.500
0.500 0.500 0.500
0.820 0.180 0.500
0.000 0.000 0.000
```



2.
The following is a GGA-PBE calculation of an optimized crystal structure of Pa2Zn5Cu4, from Alexandria.

Output
Space group: Fmmm, No. 69
Energy relative to the elements, meV/atom: -51

The structure in POSCAR format:
```
Pa2Zn5Cu4
1.0
0.000 4.387 8.081
2.597 0.000 8.081
2.597 4.387 0.000
Pa Zn Cu
2 5 4
direct
0.125 0.125 0.875
0.875 0.875 0.125
0.000 0.000 0.500
0.250 0.250 0.250
0.500 0.500 0.000
0.500 0.500 0.500
0.750 0.750 0.750
0.216 0.521 0.479
0.479 0.784 0.216
0.521 0.216 0.784
0.784 0.479 0.521
```



3.
The following is a GGA-PBE calculation of an optimized crystal structure of Ca2RuN2, from Alexandria.

Output
Space group: P4/mbm, No. 127
Formation energy (no corrections), eV/atom: -0.17

The structure in POSCAR format:
```
Ca2RuN2
1.0
6.159 0.000 0.000
0.000 6.159 0.000
0.000 0.000 3.528
Ca Ru N
4 2 4
direct
0.149 0.351 0.000
0.351 0.851 0.000
0.649 0.149 0.000
0.851 0.649 0.000
0.000 0.000 0.500
0.500 0.500 0.500
0.174 0.674 0.500
0.326 0.174 0.500
0.674 0.826 0.500
0.826 0.326 0.500
```



| no. | energy (eV/cell) | D(E_F) (states/eV per atom) |
| --- | --- | --- |
| 1 | -73.1 | 0.417 |
| 2 | -42.3 | 0.681 |
| 3 | -61.5 | 0.662 |